Entry 1:
LiHoAl3Cu | PBE-GGA | optimized geometry

Values from the calculation:
**Size of the total moment**: 0.00 μB/f.u.
**DOS(E_F)**: 10.74 states/eV per cell
**Energy relative to the elements**: -0.781 eV/f.u.
**E**: -22.60 eV per formula unit

Cell lengths 5.9385, 12.6062, 5.9272 Å; angles 90.00, 90.00, 90.00 degrees
Last column: nearest neighbours and their distance in Å.
Space group Cmcm (No. 63)
Inequivalent atoms, fractional coordinates:
Li (0.0000, 0.1501, 0.2500)  5 Al 2.69-2.72
Ho (0.0000, 0.2061, 0.7500)  1 Cu 2.71
Al (0.0000, 0.3639, 0.2500)  1 Li 2.69, 1 Cu 2.71, 4 Al 2.83
Al (0.2160, 0.0000, 0.0000)  2 Cu 2.46, 1 Al 2.57, 2 Li 2.72
Cu (0.0000, 0.4209, 0.7500)  5 Al 2.46-2.71, 1 Ho 2.71

---

Entry 2:
LiHoAlCu | PBE-GGA | optimized geometry

Values from the calculation:
**Size of the total moment**: 0.00 μB/f.u.
**DOS(E_F)**: 2.21 states/eV per cell
**Energy relative to the elements**: -1.326 eV/f.u.
**E**: -15.66 eV per formula unit

Cell lengths 6.4915, 6.4915, 6.4915 Å; angles 90.00, 90.00, 90.00 degrees
Last column: nearest neighbours and their distance in Å.
Space group F-43m (No. 216)
Inequivalent atoms, fractional coordinates:
Li (0.0000, 0.0000, 0.0000)  4 Al 2.81, 4 Ho 2.81
Ho (0.2500, 0.2500, 0.2500)  4 Li 2.81, 4 Cu 2.81
Al (0.2500, 0.2500, 0.7500)  4 Li 2.81, 4 Cu 2.81
Cu (0.0000, 0.0000, 0.5000)  4 Ho 2.81, 4 Al 2.81

---

Entry 3:
Li3Ho2AlCu12 | PBE-GGA | optimized geometry

Values from the calculation:
**Size of the total moment**: 0.00 μB/f.u.
**DOS(E_F)**: 24.14 states/eV per cell
**Energy relative to the elements**: -0.125 eV/f.u.
**E**: -67.92 eV per formula unit

Cell lengths 8.6408, 8.6408, 12.4462 Å; angles 90.00, 90.00, 120.00 degrees
Last column: nearest neighbours and their distance in Å.
Space group R-3m (No. 166, hexagonal axes)
Inequivalent atoms, fractional coordinates:
Li (0.0000, 0.5000, 0.0000)  10 Cu 2.62-2.87, 2 Ho 2.89
Ho (0.0000, 0.0000, 0.2155)  9 Cu 2.82-2.92, 3 Li 2.89
Al (0.0000, 0.0000, 0.5000)  6 Cu 2.41
Cu (0.0194, 0.5097, 0.2104)  1 Al 2.41, 5 Cu 2.43-2.59, 1 Li 2.62
Cu (0.0484, 0.5242, 0.5989)  4 Cu 2.43-2.57

---

Entry 4:
LiHo2AlCu6 | PBE-GGA | optimized geometry

Values from the calculation:
**Size of the total moment**: 0.00 μB/f.u.
**DOS(E_F)**: 10.68 states/eV per cell
**Energy relative to the elements**: -1.224 eV/f.u.
**E**: -40.61 eV per formula unit

Cell lengths 11.4060, 5.0929, 6.9972 Å; angles 90.00, 126.74, 90.00 degrees
Last column: nearest neighbours and their distance in Å.
Space group C2/m (No. 12)
Inequivalent atoms, fractional coordinates:
Li (0.0000, 0.0000, 0.0000)  6 Cu 2.42-2.68
Ho (0.0074, 0.5000, 0.7538)  7 Cu 2.78-3.04, 2 Al 3.08, 2 Li 3.10
Al (0.0000, 0.0000, 0.5000)  6 Cu 2.49-2.62
Cu (0.1891, 0.0000, 0.9413)  1 Li 2.42, 1 Al 2.49, 4 Cu 2.57
Cu (0.2470, 0.2494, 0.6884)  5 Cu 2.54-2.68, 1 Al 2.62, 1 Li 2.68